Material: BaTeSO2
Method: DFT, GGA-PBE
State: optimized geometry

a b c (Å): 4.4433 4.4433 6.0481
angles (deg): 90.00 90.00 90.00
Closest atoms and distances in Å follow each position.
Atoms (fractional coordinates):
Ba1 0.0000 0.0000 0.0000  2 S 3.02, 4 Te 3.14
Te1 0.5000 0.5000 0.0000  4 Ba 3.14
S1 0.0000 0.0000 0.5000  4 O 2.22
O1 0.0000 0.5000 0.5000  2 S 2.22
O2 0.5000 0.0000 0.5000  2 S 2.22

Properties
- N(E_F): 5.0 states/eV per cell
- Energy: -3.729 eV per atom
- Symmetry: P4/mmm (123)
- Formation energy from raw total energies: 0.092 eV/atom
- Total moment: 1.74 μB/f.u.
- Calculated volume: 119.4 Å³ per cell